{
  "formula": "PrY3ErTh",
  "functional": "GGA-PBE",
  "state": "relaxed",
  "formation_energy_ev_per_atom": 0.029,
  "total_magnetization_mub_per_fu": 0.0,
  "n_ef_per_ev_atom": 1.588,
  "space_group": "No. 11",
  "dft_energy_ev_per_atom": -5.997,
  "lattice_angstrom": [[-4.6846, 0.4597, -1.9427], [2.1137, -4.6399, -6.1946], [-4.0402, -5.0557, 8.5458]],
  "species": ["Pr", "Pr", "Y", "Y", "Y", "Y", "Y", "Y", "Er", "Er", "Th", "Th"],
  "fractional_positions": [[0.2500, 0.1214, 0.2929], [0.7500, 0.8786, 0.7071], [0.7500, 0.8674, 0.0433], [0.2500, 0.1326, 0.9567], [0.2500, 0.6273, 0.4559], [0.7500, 0.3727, 0.5441], [0.7500, 0.3835, 0.2064], [0.2500, 0.6165, 0.7936], [0.2500, 0.1288, 0.6280], [0.7500, 0.8712, 0.3720], [0.2500, 0.6208, 0.1218], [0.7500, 0.3792, 0.8782]]
}

***

{
  "formula": "Pr2YEr2Th2",
  "functional": "GGA-PBE",
  "state": "relaxed",
  "formation_energy_ev_per_atom": 0.173,
  "total_magnetization_mub_per_fu": 0.0,
  "n_ef_per_ev_atom": 1.564,
  "space_group": "No. 12",
  "dft_energy_ev_per_atom": -5.539,
  "lattice_angstrom": [[3.4852, 0.0000, 0.0000], [-1.7426, 9.0030, -0.7964], [0.0000, -3.5376, 7.8192]],
  "species": ["Pr", "Pr", "Y", "Er", "Er", "Th", "Th"],
  "fractional_positions": [[0.6444, 0.2887, 0.9183], [0.3556, 0.7113, 0.0817], [0.0000, 0.0000, 0.5000], [0.7898, 0.5797, 0.3815], [0.2102, 0.4203, 0.6185], [0.4338, 0.8676, 0.7739], [0.5662, 0.1324, 0.2261]]
}

***

{
  "formula": "PrYEr2Th",
  "functional": "GGA-PBE",
  "state": "relaxed",
  "formation_energy_ev_per_atom": 0.310,
  "total_magnetization_mub_per_fu": 0.0,
  "n_ef_per_ev_atom": 1.798,
  "space_group": "No. 47",
  "dft_energy_ev_per_atom": -5.248,
  "lattice_angstrom": [[5.6505, 0.0000, 0.0000], [0.0000, 8.5484, 1.4651], [0.0000, -1.1953, 6.9930]],
  "species": ["Pr", "Pr", "Y", "Y", "Er", "Er", "Er", "Er", "Th", "Th"],
  "fractional_positions": [[0.0000, 0.0000, 0.0000], [0.0000, 0.0000, 0.5000], [0.0001, 0.5000, 0.7500], [0.9999, 0.5000, 0.2500], [0.4997, 0.6783, 0.0004], [0.4997, 0.3217, 0.4996], [0.5003, 0.6783, 0.5004], [0.5003, 0.3217, 0.9996], [0.5001, 0.0000, 0.2500], [0.4999, 0.0000, 0.7500]]
}

***

{
  "formula": "PrYErTh2",
  "functional": "GGA-PBE",
  "state": "relaxed",
  "formation_energy_ev_per_atom": 0.377,
  "total_magnetization_mub_per_fu": 0.0,
  "n_ef_per_ev_atom": 1.569,
  "space_group": "No. 63",
  "dft_energy_ev_per_atom": -5.753,
  "lattice_angstrom": [[6.7016, 0.0000, 0.0000], [0.0000, 6.7018, 0.0000], [0.0000, -3.3509, 7.8636]],
  "species": ["Pr", "Pr", "Y", "Y", "Er", "Er", "Th", "Th", "Th", "Th"],
  "fractional_positions": [[0.7500, 0.7498, 0.4995], [0.2500, 0.2502, 0.5005], [0.2500, 0.6517, 0.3033], [0.7500, 0.3483, 0.6967], [0.2500, 0.8500, 0.7001], [0.7500, 0.1500, 0.2999], [0.5000, 0.2493, 0.0000], [0.0000, 0.7507, 0.0000], [0.5000, 0.7507, 0.0000], [0.0000, 0.2493, 0.0000]]
}

***

{
  "formula": "PrYErTh",
  "functional": "GGA-PBE",
  "state": "relaxed",
  "formation_energy_ev_per_atom": 0.016,
  "total_magnetization_mub_per_fu": 0.0,
  "n_ef_per_ev_atom": 1.488,
  "space_group": "No. 160",
  "relative_energy_ev_per_atom": 0.000,
  "dft_energy_ev_per_atom": -5.790,
  "lattice_angstrom": [[-3.3200, 1.3381, 0.4418], [1.0748, -1.1173, -3.2557], [-2.1254, -11.1765, 3.1337]],
  "species": ["Pr", "Y", "Er", "Th"],
  "fractional_positions": [[0.9719, 0.3839, 0.3714], [0.1300, 0.9629, 0.1077], [0.4752, 0.1356, 0.6261], [0.3008, 0.5484, 0.8646]]
}

***

{
  "formula": "PrYErTh",
  "functional": "GGA-PBE",
  "state": "relaxed",
  "formation_energy_ev_per_atom": 0.131,
  "total_magnetization_mub_per_fu": 0.0,
  "n_ef_per_ev_atom": 2.128,
  "space_group": "No. 216",
  "relative_energy_ev_per_atom": 0.115,
  "dft_energy_ev_per_atom": -5.676,
  "lattice_angstrom": [[-4.3884, -3.6528, 0.2572], [0.8787, -5.5858, -0.8329], [-0.4310, -3.6452, 4.3811]],
  "species": ["Pr", "Y", "Th", "Er"],
  "fractional_positions": [[0.7500, 0.7500, 0.7500], [0.0000, 0.0000, 0.0000], [0.2500, 0.2500, 0.2500], [0.5000, 0.5000, 0.5000]]
}

***

{
  "formula": "PrYEr3Th",
  "functional": "GGA-PBE",
  "state": "relaxed",
  "formation_energy_ev_per_atom": 0.030,
  "total_magnetization_mub_per_fu": 0.0,
  "n_ef_per_ev_atom": 1.533,
  "space_group": "No. 11",
  "dft_energy_ev_per_atom": -5.362,
  "lattice_angstrom": [[5.0636, 0.0000, 0.0000], [0.0000, 7.8771, -1.2063], [0.0000, -3.1826, 10.1629]],
  "species": ["Pr", "Pr", "Y", "Y", "Er", "Er", "Er", "Er", "Er", "Er", "Th", "Th"],
  "fractional_positions": [[0.2500, 0.1249, 0.2908], [0.7500, 0.8751, 0.7092], [0.2500, 0.1306, 0.6288], [0.7500, 0.8694, 0.3712], [0.7500, 0.8680, 0.0418], [0.2500, 0.1320, 0.9582], [0.2500, 0.6231, 0.4561], [0.7500, 0.3769, 0.5439], [0.7500, 0.3810, 0.2063], [0.2500, 0.6190, 0.7937], [0.2500, 0.6174, 0.1203], [0.7500, 0.3826, 0.8797]]
}

***

{
  "formula": "PrY6Er2Th",
  "functional": "GGA-PBE",
  "state": "relaxed",
  "formation_energy_ev_per_atom": 0.148,
  "total_magnetization_mub_per_fu": 0.0,
  "n_ef_per_ev_atom": 1.530,
  "space_group": "No. 15",
  "dft_energy_ev_per_atom": -5.863,
  "lattice_angstrom": [[9.0273, -1.9946, -2.0700], [0.9344, 8.5660, -1.8981], [0.9344, -2.2142, 8.4898]],
  "species": ["Pr", "Pr", "Y", "Y", "Y", "Y", "Y", "Y", "Y", "Y", "Y", "Y", "Y", "Y", "Er", "Er", "Er", "Er", "Th", "Th"],
  "fractional_positions": [[0.2500, 0.4090, 0.5910], [0.7500, 0.5910, 0.4090], [0.0588, 0.1127, 0.7644], [0.4412, 0.2356, 0.8873], [0.9412, 0.8873, 0.2356], [0.5588, 0.7644, 0.1127], [0.3182, 0.9837, 0.4288], [0.1818, 0.5712, 0.0163], [0.6818, 0.0163, 0.5712], [0.8182, 0.4288, 0.9837], [0.1118, 0.7064, 0.4809], [0.3882, 0.5191, 0.2936], [0.8882, 0.2936, 0.5191], [0.6118, 0.4809, 0.7064], [0.4455, 0.8034, 0.7042], [0.0545, 0.2958, 0.1966], [0.5545, 0.1966, 0.2958], [0.9455, 0.7042, 0.8034], [0.2500, 0.9661, 0.0339], [0.7500, 0.0339, 0.9661]]
}

***

{
  "formula": "Pr5Y2ErTh",
  "functional": "GGA-PBE",
  "state": "relaxed",
  "formation_energy_ev_per_atom": 0.136,
  "total_magnetization_mub_per_fu": 0.0,
  "n_ef_per_ev_atom": 1.454,
  "space_group": "No. 63",
  "dft_energy_ev_per_atom": -5.287,
  "lattice_angstrom": [[-3.6032, 4.0929, -0.2660], [0.3587, -4.0082, -10.5062], [-7.8945, -6.7988, 2.3242]],
  "species": ["Pr", "Pr", "Pr", "Pr", "Pr", "Pr", "Pr", "Pr", "Pr", "Pr", "Y", "Y", "Y", "Y", "Er", "Er", "Th", "Th"],
  "fractional_positions": [[0.3744, 0.7489, 0.0082], [0.7219, 0.4438, 0.8157], [0.5000, 0.0000, 0.7583], [0.2781, 0.5561, 0.7007], [0.0014, 0.0028, 0.5082], [0.6256, 0.2511, 0.5082], [0.2781, 0.5562, 0.3157], [0.5000, 0.0000, 0.2583], [0.7219, 0.4439, 0.2007], [0.9986, 0.9972, 0.0082], [0.8872, 0.7744, 0.7544], [0.1128, 0.2255, 0.7621], [0.1128, 0.2256, 0.2544], [0.8872, 0.7745, 0.2621], [0.6022, 0.2045, 0.0082], [0.3978, 0.7955, 0.5082], [0.7873, 0.5746, 0.5082], [0.2127, 0.4254, 0.0082]]
}

***

{
  "formula": "PrErThZr",
  "functional": "GGA-PBE",
  "state": "relaxed",
  "formation_energy_ev_per_atom": 0.167,
  "total_magnetization_mub_per_fu": 0.0,
  "n_ef_per_ev_atom": 1.284,
  "space_group": "No. 216",
  "dft_energy_ev_per_atom": -6.161,
  "lattice_angstrom": [[-1.8096, 2.2770, 4.6891], [-5.1383, -0.9960, 1.7473], [-0.8381, -3.1495, 4.4526]],
  "species": ["Pr", "Zr", "Th", "Er"],
  "fractional_positions": [[0.5000, 0.5000, 0.5000], [0.2500, 0.2500, 0.2500], [0.0000, 0.0000, 0.0000], [0.7500, 0.7500, 0.7500]]
}

***

{
  "formula": "Pr2ErTi",
  "functional": "GGA-PBE",
  "state": "relaxed",
  "formation_energy_ev_per_atom": 0.460,
  "total_magnetization_mub_per_fu": 1.3,
  "n_ef_per_ev_atom": 1.709,
  "space_group": "No. 166",
  "dft_energy_ev_per_atom": -5.044,
  "lattice_angstrom": [[-0.7961, -2.6785, -1.9535], [2.4209, -2.2160, -0.9235], [-1.6621, -8.1228, 8.8397]],
  "species": ["Pr", "Pr", "Ti", "Er"],
  "fractional_positions": [[0.0828, 0.0828, 0.7516], [0.9172, 0.9172, 0.2484], [0.0000, 0.0000, 0.0000], [0.5000, 0.5000, 0.5000]]
}